First-principles (GGA-PBE) data for a relaxed structure of Ti2VPd, as listed in Alexandria. Values from VASP.

Values from the calculation:
Fermi-level density of states = 1.493 states/eV per atom
E_form = -0.254 eV/atom
E above lowest polymorph = 84 meV per atom
SG = P4/mmm (123)
crystal system = tetragonal
M_tot = 0.004 μB/cell
total energy = -31.12 eV per formula unit

Cell and atoms, written as Quantum ESPRESSO input:
```
&SYSTEM
  ibrav = 0, nat = 4, ntyp = 3
/
ATOMIC_SPECIES
Ti 47.87 Ti.upf
V 50.94 V.upf
Pd 106.42 Pd.upf
ATOMIC_POSITIONS angstrom
Ti 0.000 2.195 0.000
Ti 2.195 0.000 0.000
V 0.000 0.000 1.589
Pd 2.195 2.195 1.589
CELL_PARAMETERS angstrom
4.390 0.000 0.000
0.000 4.390 0.000
0.000 0.000 3.177
```

First-principles (GGA-PBE) data for a relaxed structure of Ti2V2Pd, as listed in Alexandria. Values from VASP.

Values from the calculation:
Fermi-level density of states = 1.469 states/eV per atom
E_form = 0.071 eV/atom
E above lowest polymorph = 28 meV per atom
SG = Imma (74)
crystal system = orthorhombic
M_tot = 0.000 μB/cell
total energy = -38.86 eV per formula unit

Cell and atoms, written as Quantum ESPRESSO input:
```
&SYSTEM
  ibrav = 0, nat = 10, ntyp = 3
/
ATOMIC_SPECIES
Ti 47.87 Ti.upf
V 50.94 V.upf
Pd 106.42 Pd.upf
ATOMIC_POSITIONS angstrom
Ti 0.000 1.268 0.625
Ti 0.000 4.635 0.625
Ti 2.177 1.268 2.574
Ti 2.177 4.635 2.574
V 2.177 -0.768 0.960
V 2.177 5.135 -0.960
V 0.000 0.768 4.160
V 0.000 6.671 2.239
Pd 2.177 2.951 0.325
Pd 0.000 2.951 2.874
CELL_PARAMETERS angstrom
-2.177 5.903 3.199
2.177 -5.903 3.199
2.177 5.903 -3.199
```

First-principles (GGA-PBE) data for a relaxed structure of TiVPd6, as listed in Alexandria. Values from VASP.

Values from the calculation:
Fermi-level density of states = 0.717 states/eV per atom
E_form = -0.429 eV/atom
E above lowest polymorph = 0 meV per atom
SG = P4/mmm (123)
crystal system = tetragonal
M_tot = 1.488 μB/cell
total energy = -51.60 eV per formula unit

Cell and atoms, written as Quantum ESPRESSO input:
```
&SYSTEM
  ibrav = 0, nat = 8, ntyp = 3
/
ATOMIC_SPECIES
Ti 47.87 Ti.upf
V 50.94 V.upf
Pd 106.42 Pd.upf
ATOMIC_POSITIONS angstrom
Ti 0.000 0.000 0.000
V 0.000 0.000 3.923
Pd 0.000 1.957 1.959
Pd 0.000 1.957 5.887
Pd 1.957 0.000 1.959
Pd 1.957 0.000 5.887
Pd 1.957 1.957 0.000
Pd 1.957 1.957 3.923
CELL_PARAMETERS angstrom
3.914 0.000 0.000
0.000 3.914 0.000
0.000 0.000 7.846
```

First-principles (GGA-PBE) data for a relaxed structure of TiVPd5, as listed in Alexandria. Values from VASP.

Values from the calculation:
Fermi-level density of states = 0.424 states/eV per atom
E_form = -0.307 eV/atom
E above lowest polymorph = 0 meV per atom
SG = P4/mmm (123)
crystal system = tetragonal
M_tot = 0.000 μB/cell
total energy = -45.12 eV per formula unit

Cell and atoms, written as Quantum ESPRESSO input:
```
&SYSTEM
  ibrav = 0, nat = 7, ntyp = 3
/
ATOMIC_SPECIES
Ti 47.87 Ti.upf
V 50.94 V.upf
Pd 106.42 Pd.upf
ATOMIC_POSITIONS angstrom
Ti 0.000 0.000 0.000
V 1.964 1.964 3.594
Pd 0.000 1.964 1.999
Pd 0.000 1.964 5.190
Pd 1.964 0.000 1.999
Pd 1.964 0.000 5.190
Pd 1.964 1.964 0.000
CELL_PARAMETERS angstrom
3.928 0.000 0.000
0.000 3.928 0.000
0.000 0.000 7.189
```